(P)
ScCrSe: optimized geometry, PBE.

Cell: 4.218 4.218 3.466 Å, 90.00 90.00 120.00°
Element x y z (fractional)
1 Cr 0.000 0.000 0.834
2 Sc 0.667 0.333 0.334
3 Se 0.333 0.667 0.832

As for the crystal system: trigonal.


(Q)
ScCrSe: optimized geometry, PBE.

Cell: 3.737 3.438 17.958 Å, 90.00 90.00 90.00°
Element x y z (fractional)
1 Sc 0.560 0.000 0.656
2 Sc 0.560 0.500 0.156
3 Sc 0.060 0.000 0.471
4 Sc 0.060 0.500 0.971
5 Cr 0.560 0.000 0.893
6 Cr 0.560 0.500 0.393
7 Cr 0.060 0.000 0.819
8 Cr 0.060 0.500 0.319
9 Se 0.060 0.000 0.211
10 Se 0.060 0.500 0.711
11 Se 0.560 0.000 0.038
12 Se 0.560 0.500 0.538

As for the crystal system: orthorhombic.


(R)
ScCrSe: optimized geometry, PBE.

Cell: 5.258 5.258 3.396 Å, 71.16 71.15 37.69°
Element x y z (fractional)
1 Cr 0.995 0.995 0.005
2 Sc 0.670 0.670 0.330
3 Se 0.335 0.335 0.665

As for the crystal system: tetragonal.


(S)
ScCrSe: optimized geometry, PBE.

Cell: 3.735 3.463 18.398 Å, 90.00 93.22 90.00°
Element x y z (fractional)
1 Sc 0.270 0.000 0.392
2 Sc 0.730 0.000 0.608
3 Sc 0.270 0.500 0.892
4 Sc 0.730 0.500 0.108
5 Cr 0.213 0.000 0.029
6 Cr 0.787 0.000 0.971
7 Cr 0.213 0.500 0.529
8 Cr 0.787 0.500 0.471
9 Se 0.765 0.000 0.834
10 Se 0.235 0.000 0.166
11 Se 0.765 0.500 0.334
12 Se 0.235 0.500 0.666

As for the crystal system: monoclinic.


The structure shown above that is most stable: (S).